(w)
The following is a GGA-PBE calculation of crystalline ZnNi2B at its relaxed geometry, from Alexandria via LeMat-Bulk.

a b c (Å): 3.7814 3.7814 13.8361
angles (deg): 90.00 90.00 90.00
Space group I-42d (No. 122)
One atom of each set of equivalent atoms:
Zn1 0.0000 0.0000 0.0000 x4
Ni1 0.1673 0.2500 0.6250 x8
B1 0.0000 0.0000 0.5000 x4

* crystal system: tetragonal
* density of states at the Fermi level: 0.33 states/eV/atom
* spin magnetization: 0.00 μB/atom



(x)
The following is a GGA-PBE calculation of crystalline ZnNi2B at its relaxed geometry, from Alexandria via LeMat-Bulk.

a b c (Å): 2.5116 2.5116 6.3381
angles (deg): 90.00 90.00 90.00
Space group P4/mmm (No. 123)
One atom of each set of equivalent atoms:
Zn1 0.0000 0.0000 0.0000 x1
Ni1 0.5000 0.5000 0.3088 x2
B1 0.0000 0.0000 0.5000 x1

* crystal system: tetragonal
* density of states at the Fermi level: 0.39 states/eV/atom
* spin magnetization: 0.00 μB/atom



Of them, the most stable is (x) and the least stable is (w).



(w)
The following is a GGA-PBE calculation of crystalline ZnNi2B at its relaxed geometry, from Alexandria via LeMat-Bulk.

a b c (Å): 5.4422 5.4422 5.4422
angles (deg): 90.00 90.00 90.00
Space group Fm-3m (No. 225)
One atom of each set of equivalent atoms:
Zn1 0.0000 0.0000 0.0000 x4
Ni1 0.2500 0.2500 0.2500 x8
B1 0.0000 0.0000 0.5000 x4

* crystal system: cubic
* density of states at the Fermi level: 0.60 states/eV/atom
* spin magnetization: 0.00 μB/atom



(x)
The following is a GGA-PBE calculation of crystalline ZnNi2B at its relaxed geometry, from Alexandria via LeMat-Bulk.

a b c (Å): 2.8609 2.8609 18.5739
angles (deg): 90.00 90.00 120.00
Space group R3m (No. 160, hexagonal axes)
One atom of each set of equivalent atoms:
Zn1 0.0000 0.0000 0.0000 x3
Ni1 0.0000 0.0000 0.2248 x3
Ni2 0.0000 0.0000 0.4426 x3
B1 0.0000 0.0000 0.8336 x3

* crystal system: trigonal
* density of states at the Fermi level: 0.32 states/eV/atom
* spin magnetization: 0.00 μB/atom



Of them, the most stable is (x) and the least stable is (w).



(w)
The following is a GGA-PBE calculation of crystalline ZrNiB3 at its relaxed geometry, from Alexandria via LeMat-Bulk.

a b c (Å): 3.7862 3.7862 3.7862
angles (deg): 90.00 90.00 90.00
Space group Pm-3m (No. 221)
One atom of each set of equivalent atoms:
Zr1 0.0000 0.0000 0.0000 x1
Ni1 0.5000 0.5000 0.5000 x1
B1 0.0000 0.5000 0.5000 x3

* crystal system: cubic
* density of states at the Fermi level: 0.39 states/eV/atom
* spin magnetization: 0.00 μB/atom



(x)
The following is a GGA-PBE calculation of crystalline ZrNiB3 at its relaxed geometry, from Alexandria via LeMat-Bulk.

a b c (Å): 4.3112 4.3112 4.3112
angles (deg): 90.00 90.00 90.00
Space group Pm-3m (No. 221)
One atom of each set of equivalent atoms:
Zr1 0.0000 0.0000 0.0000 x1
Ni1 0.5000 0.5000 0.5000 x1
B1 0.0000 0.0000 0.5000 x3

* crystal system: cubic
* density of states at the Fermi level: 0.63 states/eV/atom
* spin magnetization: 0.00 μB/atom



(y)
The following is a GGA-PBE calculation of crystalline ZrNiB3 at its relaxed geometry, from Alexandria via LeMat-Bulk.

a b c (Å): 3.3981 18.1137 3.1248
angles (deg): 90.00 90.00 90.00
Space group Cmcm (No. 63)
One atom of each set of equivalent atoms:
Zr1 0.0000 0.0781 0.2500 x4
Ni1 0.0000 0.2087 0.7500 x4
B1 0.0000 0.3214 0.7500 x4
B2 0.0000 0.3691 0.2500 x4
B3 0.0000 0.4755 0.2500 x4

* crystal system: orthorhombic
* density of states at the Fermi level: 0.46 states/eV/atom
* spin magnetization: 0.00 μB/atom



Of them, the most stable is (y) and the least stable is (x).



(w)
The following is a GGA-PBE calculation of crystalline ZrNiB2 at its relaxed geometry, from Alexandria via LeMat-Bulk.

a b c (Å): 5.5897 3.3877 8.9706
angles (deg): 90.00 90.00 90.00
Space group Pnma (No. 62)
One atom of each set of equivalent atoms:
Zr1 0.1321 0.2500 0.1356 x4
Ni1 0.1297 0.2500 0.4381 x4
B1 0.0282 0.2500 0.6724 x4
B2 0.2104 0.2500 0.8339 x4

* crystal system: orthorhombic
* density of states at the Fermi level: 0.43 states/eV/atom
* spin magnetization: 0.00 μB/atom



(x)
The following is a GGA-PBE calculation of crystalline ZrNiB2 at its relaxed geometry, from Alexandria via LeMat-Bulk.

a b c (Å): 5.6136 5.6136 5.6136
angles (deg): 90.00 90.00 90.00
Space group Fm-3m (No. 225)
One atom of each set of equivalent atoms:
Zr1 0.0000 0.0000 0.0000 x4
Ni1 0.0000 0.0000 0.5000 x4
B1 0.2500 0.2500 0.2500 x8

* crystal system: cubic
* density of states at the Fermi level: 0.54 states/eV/atom
* spin magnetization: 0.00 μB/atom



(y)
The following is a GGA-PBE calculation of crystalline ZrNiB2 at its relaxed geometry, from Alexandria via LeMat-Bulk.

a b c (Å): 3.7696 3.7696 13.4822
angles (deg): 90.00 90.00 90.00
Space group I4_1/amd (No. 141, origin choice 2)
One atom of each set of equivalent atoms:
Zr1 0.0000 0.2500 0.3750 x4
Ni1 0.0000 0.2500 0.8750 x4
B1 0.0000 0.0000 0.0000 x8

* crystal system: tetragonal
* density of states at the Fermi level: 0.63 states/eV/atom
* spin magnetization: 0.00 μB/atom



Of them, the most stable is (w) and the least stable is (x).